# PBE-GGA Ta2AgPt, optimized geometry
data_Ta2AgPt
_cell_length_a 5.7027
_cell_length_b 8.4108
_cell_length_c 2.8284
_cell_angle_alpha 90.00
_cell_angle_beta 90.00
_cell_angle_gamma 90.00
_symmetry_space_group_name_H-M 'C m m m'
_symmetry_Int_Tables_number 65
_symmetry_space_group_name_Hall '-C 2 2'
loop_
_atom_site_label
_atom_site_type_symbol
_atom_site_fract_x
_atom_site_fract_y
_atom_site_fract_z
Ta1 Ta 0.2500 0.2500 0.0000
Ag1 Ag 0.0000 0.0000 0.5000
Pt1 Pt 0.0000 0.5000 0.5000
# - Crystal system: orthorhombic
# - Calculated formation energy: -0.48 eV/f.u.

***

# PBE-GGA YPuZnRh, optimized geometry
data_YPuZnRh
_cell_length_a 7.0015
_cell_length_b 7.0015
_cell_length_c 7.0015
_cell_angle_alpha 90.00
_cell_angle_beta 90.00
_cell_angle_gamma 90.00
_symmetry_space_group_name_H-M 'F -4 3 m'
_symmetry_Int_Tables_number 216
_symmetry_space_group_name_Hall 'F -4 2 3'
loop_
_atom_site_label
_atom_site_type_symbol
_atom_site_fract_x
_atom_site_fract_y
_atom_site_fract_z
Y1 Y 0.0000 0.0000 0.0000
Pu1 Pu 0.0000 0.0000 0.5000
Zn1 Zn 0.2500 0.2500 0.2500
Rh1 Rh 0.2500 0.2500 0.7500
# - Crystal system: cubic
# - Calculated formation energy: -1.48 eV/f.u.

***

# PBE-GGA Te2AsF, optimized geometry
data_Te2AsF
_cell_length_a 3.1884
_cell_length_b 3.1884
_cell_length_c 29.6886
_cell_angle_alpha 90.00
_cell_angle_beta 90.00
_cell_angle_gamma 120.00
_symmetry_space_group_name_H-M 'R -3 m'
_symmetry_Int_Tables_number 166
_symmetry_space_group_name_Hall '-R 3 2"'
loop_
_atom_site_label
_atom_site_type_symbol
_atom_site_fract_x
_atom_site_fract_y
_atom_site_fract_z
Te1 Te 0.0000 0.0000 0.0957
As1 As 0.0000 0.0000 0.0000
F1 F 0.0000 0.0000 0.5000
# - VASP energy: -3.405 eV per atom
# - Crystal system: trigonal

***

| no. | calculated density (g cm⁻³) |
| --- | --- |
| 1 | 16.28 |
| 2 | 9.70 |
| 3 | 6.65 |